(A)
Entry from the Alexandria database: a relaxed structure of AcNdGaNi (PBE-GGA).

```
AcNdGaNi
1.0
-1.598 3.658 -0.135
-3.025 -1.429 -2.918
-2.896 -3.276 4.608
Nd Ni Ac Ga
1 1 1 1
Cartesian
-0.141 -0.055 0.173
-2.544 -0.996 3.126
-4.140 0.399 0.720
-4.905 -2.043 2.709
```

***

(B)
Entry from the Alexandria database: a relaxed structure of AcNdGaNi (PBE-GGA).

```
AcNdGaNi
1.0
-2.404 -4.585 -0.974
1.980 -4.477 1.945
-2.518 -2.529 3.875
Nd Ni Ac Ga
1 1 1 1
Cartesian
-1.471 -5.796 2.423
-2.206 -8.694 3.635
0.000 0.000 0.000
-0.735 -2.898 1.212
```

***

Which one sits at the bottom of the stability order? (B) does.

***

(A)
Entry from the Alexandria database: a relaxed structure of AcNdGaPd (PBE-GGA).

```
AcNdGaPd
1.0
-1.001 0.435 4.404
-3.849 -2.387 -0.639
3.128 -4.734 -1.158
Ga Nd Pd Ac
1 1 1 1
Cartesian
-2.102 -1.531 2.011
-0.532 -4.230 2.634
2.263 -3.890 0.899
0.776 -1.334 0.308
```

***

(B)
Entry from the Alexandria database: a relaxed structure of AcNdGaPd (PBE-GGA).

```
AcNdGaPd
1.0
5.342 0.000 0.000
2.671 4.627 0.000
2.671 1.542 4.362
Ga Pd Ac Nd
1 1 1 1
Cartesian
2.671 1.542 1.090
8.013 4.627 3.271
0.000 0.000 0.000
5.342 3.084 2.181
```

***

Which one sits at the bottom of the stability order? (B) does.

***

(A)
Entry from the Alexandria database: a relaxed structure of AcNdGaPt (PBE-GGA).

```
AcNdGaPt
1.0
4.478 0.000 0.000
0.000 4.554 0.000
-2.239 0.000 5.377
Ga Nd Pt Ac
1 1 1 1
Cartesian
2.239 2.277 0.666
2.239 2.277 3.883
0.000 0.000 4.627
0.000 0.000 1.578
```

***

(B)
Entry from the Alexandria database: a relaxed structure of AcNdGaPt (PBE-GGA).

```
AcNdGaPt
1.0
5.327 0.000 0.000
2.663 4.613 0.000
2.663 1.538 4.349
Ga Nd Ac Pt
1 1 1 1
Cartesian
2.663 1.538 1.087
5.327 3.075 2.175
0.000 0.000 0.000
7.990 4.613 3.262
```

***

Which one sits at the bottom of the stability order? (B) does.

***

(A)
Entry from the Alexandria database: a relaxed structure of AcNdGaRh (PBE-GGA).

```
AcNdGaRh
1.0
-4.000 0.338 -0.933
-0.968 -3.104 3.021
1.390 4.054 4.610
Ga Ac Nd Rh
1 1 1 1
Cartesian
-1.047 2.348 5.338
-2.788 0.725 3.113
-0.024 0.169 0.166
-0.413 2.856 2.803
```

***

(B)
Entry from the Alexandria database: a relaxed structure of AcNdGaRh (PBE-GGA).

```
AcNdGaRh
1.0
5.271 0.000 0.000
2.635 4.565 0.000
2.635 1.522 4.303
Rh Nd Ga Ac
1 1 1 1
Cartesian
7.906 4.565 3.228
5.271 3.043 2.152
2.635 1.522 1.076
0.000 0.000 0.000
```

***

Which one sits at the bottom of the stability order? (B) does.

***

(A)
Entry from the Alexandria database: a relaxed structure of AcNdGaRu (PBE-GGA).

```
AcNdGaRu
1.0
5.245 0.000 0.000
2.622 4.542 0.000
2.622 1.514 4.282
Nd Ga Ac Ru
1 1 1 1
Cartesian
0.000 0.000 0.000
2.622 1.514 1.071
5.245 3.028 2.141
7.867 4.542 3.212
```

***

(B)
Entry from the Alexandria database: a relaxed structure of AcNdGaRu (PBE-GGA).

```
AcNdGaRu
1.0
-3.563 -2.636 0.990
0.261 -1.803 -3.860
5.166 -2.502 1.517
Ga Ac Ru Nd
1 1 1 1
Cartesian
-1.260 -2.661 -1.202
1.016 -1.147 0.604
2.883 -3.254 1.714
0.827 -5.016 0.038
```

***

Which one sits at the bottom of the stability order? (A) does.

***

(A)
Entry from the Alexandria database: a relaxed structure of AcNdGaSi (PBE-GGA).

```
AcNdGaSi
1.0
5.347 0.000 0.000
2.673 4.631 0.000
2.673 1.544 4.366
Si Ga Ac Nd
1 1 1 1
Cartesian
8.020 4.631 3.274
2.673 1.544 1.091
5.347 3.087 2.183
0.000 0.000 0.000
```

***

(B)
Entry from the Alexandria database: a relaxed structure of AcNdGaSi (PBE-GGA).

```
AcNdGaSi
1.0
4.559 0.000 0.000
0.000 4.130 0.000
-2.279 0.000 5.847
Ga Ac Si Nd
1 1 1 1
Cartesian
2.279 2.065 0.723
0.000 0.000 1.719
0.000 0.000 5.005
2.279 2.065 4.246
```

***

Which one sits at the bottom of the stability order? (A) does.

***

(A)
Entry from the Alexandria database: a relaxed structure of AcGaNi (PBE-GGA).

```
AcGaNi
1.0
-3.697 1.206 2.664
-0.148 -1.267 4.538
0.488 3.256 3.373
Ga Ac Ni
1 1 1
Cartesian
0.000 0.000 0.000
-1.678 1.597 5.288
-0.839 0.799 2.644
```

***

(B)
Entry from the Alexandria database: a relaxed structure of AcGaNi (PBE-GGA).

```
AcGaNi
1.0
-4.276 0.710 0.013
-0.210 -1.190 -4.156
-0.481 -2.956 3.125
Ga Ni Ac
1 1 1
Cartesian
-0.713 0.118 0.002
-1.014 -1.661 -1.727
-3.241 -1.895 0.707
```

***

Which one sits at the bottom of the stability order? (A) does.

***

(A)
Entry from the Alexandria database: a relaxed structure of AcGaNi (PBE-GGA).

```
AcGaNi
1.0
3.479 0.000 0.000
0.000 3.479 0.000
-1.739 -1.739 5.453
Ga Ac Ni
1 1 1
Cartesian
0.000 0.000 3.156
0.000 0.000 0.010
1.739 1.739 2.286
```

***

(B)
Entry from the Alexandria database: a relaxed structure of AcGaNi (PBE-GGA).

```
AcGaNi
1.0
6.130 0.000 -1.693
0.000 6.527 0.000
-0.214 0.000 6.938
Ni Ac Ga
4 4 4
Cartesian
2.623 3.855 4.956
3.292 2.672 0.289
5.795 5.935 0.640
0.120 0.591 4.605
4.720 4.241 2.743
4.154 0.977 5.124
1.196 2.286 2.502
1.762 5.550 0.121
4.913 4.195 -0.756
1.740 5.595 3.559
4.175 0.932 1.686
1.003 2.332 6.001
```

***

(C)
Entry from the Alexandria database: a relaxed structure of AcGaNi (PBE-GGA).

```
AcGaNi
1.0
6.868 0.000 0.000
0.000 6.868 0.000
0.000 0.000 6.487
Ni Ac Ga
4 4 4
Cartesian
5.989 0.879 4.866
4.314 4.314 3.244
2.555 2.555 0.000
0.879 5.989 1.622
1.945 4.923 4.866
5.379 5.379 0.000
4.923 1.945 1.622
1.489 1.489 3.244
0.891 0.891 0.000
2.543 4.325 1.622
5.977 5.977 3.244
4.325 2.543 4.866
```

***

Which one sits at the bottom of the stability order? (A) does.

***

(A)
Entry from the Alexandria database: a relaxed structure of AcGa2Ni (PBE-GGA).

```
AcGa2Ni
1.0
4.106 0.000 0.000
-2.053 5.765 0.000
0.000 0.000 7.091
Ga Ni Ac
4 2 2
Cartesian
2.053 1.966 0.429
0.000 3.799 6.662
0.000 3.799 3.974
2.053 1.966 3.117
2.053 3.193 5.318
0.000 2.572 1.773
2.053 5.133 1.773
0.000 0.632 5.318
```

***

(B)
Entry from the Alexandria database: a relaxed structure of AcGa2Ni (PBE-GGA).

```
AcGa2Ni
1.0
-0.304 1.761 4.012
-1.499 -3.777 1.544
9.153 -0.719 1.009
Ni Ga Ac
2 4 2
Cartesian
0.276 -1.373 3.028
7.074 -1.362 3.537
-0.750 -1.888 0.772
4.744 -0.639 3.044
2.606 -2.096 3.521
-0.152 0.880 2.006
2.373 -0.736 0.503
5.280 -3.760 2.050
```

***

(C)
Entry from the Alexandria database: a relaxed structure of AcGa2Ni (PBE-GGA).

```
AcGa2Ni
1.0
-0.444 -3.962 -1.303
2.299 -3.048 1.736
-3.431 -3.167 4.050
Ga Ac Ni
2 1 1
Cartesian
0.162 -2.430 0.585
-1.738 -7.746 3.898
-0.788 -5.088 2.241
0.000 0.000 0.000
```

***

Which one sits at the bottom of the stability order? (C) does.

***

(A)
Entry from the Alexandria database: a relaxed structure of AcGa2Ni3 (PBE-GGA).

```
AcGa2Ni3
1.0
3.840 0.000 0.000
0.000 4.756 -2.739
0.000 -0.006 5.489
Ga Ni Ac
2 3 1
Cartesian
0.000 3.174 0.001
0.000 1.587 2.743
1.920 0.003 2.741
1.920 2.384 -1.373
1.920 2.381 1.372
0.000 0.006 -0.003
```

***

(B)
Entry from the Alexandria database: a relaxed structure of AcGa2Ni3 (PBE-GGA).

```
AcGa2Ni3
1.0
5.231 0.000 0.000
0.000 6.347 -0.047
0.000 -1.321 6.209
Ac Ga Ni
2 4 6
Cartesian
1.308 1.557 1.908
3.923 3.469 4.253
0.000 4.740 1.264
0.000 0.286 4.898
2.615 0.286 4.898
2.615 4.740 1.264
3.923 0.356 0.437
3.923 -0.079 2.857
1.308 5.105 3.304
1.308 2.211 5.665
1.308 4.670 5.725
3.923 2.815 0.496
```

***

Which one sits at the bottom of the stability order? (B) does.

***

(A)
Entry from the Alexandria database: a relaxed structure of AcGa2Ni2 (PBE-GGA).

```
AcGa2Ni2
1.0
4.181 0.249 0.000
-0.473 4.161 0.000
0.000 0.000 10.631
Ac Ni Ga
2 4 4
Cartesian
2.781 3.308 2.658
0.927 1.103 7.973
2.781 3.308 9.257
0.927 1.103 1.375
2.781 3.308 6.690
0.927 1.103 3.941
3.017 1.227 5.316
3.017 1.227 0.000
0.690 3.183 5.316
0.690 3.183 0.000
```

***

(B)
Entry from the Alexandria database: a relaxed structure of AcGa2Ni2 (PBE-GGA).

```
AcGa2Ni2
1.0
4.053 0.000 -1.387
-0.529 4.266 -1.547
-0.365 0.185 5.549
Ga Ac Ni
2 1 2
Cartesian
0.944 1.826 2.758
2.215 2.625 -0.142
0.000 0.000 0.000
2.758 0.810 1.443
0.401 3.641 1.172
```

***

Which one sits at the bottom of the stability order? (A) does.

***

(A)
Entry from the Alexandria database: a relaxed structure of SrAcGaNi (PBE-GGA).

```
SrAcGaNi
1.0
5.363 0.000 0.000
2.681 4.644 0.000
2.681 1.548 4.379
Ga Sr Ni Ac
1 1 1 1
Cartesian
8.044 4.644 3.284
5.363 3.096 2.189
2.681 1.548 1.095
0.000 0.000 0.000
```

***

(B)
Entry from the Alexandria database: a relaxed structure of SrAcGaNi (PBE-GGA).

```
SrAcGaNi
1.0
-3.522 2.174 1.190
0.188 -1.828 -3.895
-0.862 -7.576 3.524
Sr Ac Ga Ni
1 1 1 1
Cartesian
-1.539 -2.221 1.613
-0.620 -8.206 -0.285
-1.783 -0.987 -1.358
-2.969 0.456 0.289
```

***

Which one sits at the bottom of the stability order? (A) does.

***

(A)
Entry from the Alexandria database: a relaxed structure of Ac4Ga2P (PBE-GGA).

```
Ac4Ga2P
1.0
0.206 -4.581 0.558
6.564 -2.236 -1.656
3.624 -1.303 7.084
Ga Ac P
2 4 1
Cartesian
6.174 -3.897 3.969
4.220 -4.223 2.018
2.102 -2.191 0.358
8.292 -5.928 5.629
3.637 -1.666 4.099
6.758 -6.453 1.888
0.000 0.000 0.000
```

***

(B)
Entry from the Alexandria database: a relaxed structure of Ac4Ga2P (PBE-GGA).

```
Ac4Ga2P
1.0
5.889 0.000 0.000
0.000 5.889 0.000
-2.945 -2.945 7.641
Ac Ga P
4 2 1
Cartesian
2.945 0.000 0.000
0.000 0.000 2.988
0.000 2.945 0.000
2.945 2.945 4.653
0.000 0.000 6.084
2.945 2.945 1.557
0.000 0.000 0.000
```

***

Which one sits at the bottom of the stability order? (B) does.